[1]
The following is a DFT calculation (PBE) of a geometry-optimized Sr2BiF structure.

a b c (Å): 5.1860 5.1860 8.3336
angles (deg): 71.87 71.87 60.00
Fractional positions:
Sr1 0.0986 0.0986 0.7043
Sr2 0.9014 0.9014 0.2957
F1 0.0000 0.0000 0.0000
Bi1 0.5000 0.5000 0.5000

Calculated values
Calculated density: 3.70 g/cm3
Energy above the most stable polymorph in this dataset: 78 meV/atom
Uncorrected formation energy: -7.598 eV/f.u.

---

[2]
The following is a DFT calculation (PBE) of a geometry-optimized CdCu2Bi2 structure.

a b c (Å): 7.2492 7.2492 4.1255
angles (deg): 90.00 90.00 90.00
Fractional positions:
Cd1 0.5000 0.5000 0.0000
Cd2 0.0000 0.0000 0.0000
Bi1 0.6724 0.8276 0.5000
Bi2 0.3276 0.1724 0.5000
Bi3 0.8276 0.3276 0.5000
Bi4 0.1724 0.6724 0.5000
Cu1 0.1230 0.3770 0.0000
Cu2 0.8770 0.6230 0.0000
Cu3 0.6230 0.1230 0.0000
Cu4 0.3770 0.8770 0.0000

Calculated values
Density of states at the Fermi level: 2.3 states/eV/cell
Calculated density: 10.07 g/cm3
Energy above the most stable polymorph in this dataset: 17 meV/atom

---

[3]
The following is a DFT calculation (PBE) of a geometry-optimized CdGa2Br2Cl6 structure.

a b c (Å): 6.3993 6.3993 11.3612
angles (deg): 90.00 90.00 120.00
Fractional positions:
Br1 0.6667 0.3333 0.4132
Br2 0.3333 0.6667 0.5868
Cl1 0.0053 0.6641 0.8606
Cl2 0.3412 0.0053 0.1394
Cl3 0.3359 0.3412 0.8606
Cl4 0.9947 0.3359 0.1394
Cl5 0.6641 0.6587 0.1394
Cl6 0.6587 0.9947 0.8606
Ga1 0.3333 0.6667 0.7872
Ga2 0.6667 0.3333 0.2128
Cd1 0.0000 0.0000 0.0000

Calculated values
Density of states at the Fermi level: 0.0 states/eV/cell
Calculated density: 2.57 g/cm3
Uncorrected formation energy: -11.235 eV/f.u.

---

[4]
The following is a DFT calculation (PBE) of a geometry-optimized Tb3Y2ScS6 structure.

a b c (Å): 3.8804 7.8069 8.6840
angles (deg): 103.12 102.91 90.00
Fractional positions:
S1 0.9991 0.2380 0.9982
S2 0.3386 0.9186 0.6772
S3 0.6669 0.5829 0.3337
S4 0.0009 0.7620 0.0018
S5 0.3331 0.4171 0.6663
S6 0.6614 0.0814 0.3228
Y1 0.1660 0.3325 0.3320
Y2 0.8340 0.6675 0.6680
Tb1 0.5000 0.5000 0.0000
Tb2 0.1684 0.8349 0.3367
Tb3 0.8316 0.1651 0.6633
Sc1 0.5000 0.0000 0.0000

Calculated values
Density of states at the Fermi level: 5.5 states/eV/cell
Calculated density: 5.94 g/cm3
Uncorrected formation energy: -23.662 eV/f.u.

---

[5]
The following is a DFT calculation (PBE) of a geometry-optimized Ac5GaSn4 structure.

a b c (Å): 6.8132 8.2431 8.2431
angles (deg): 80.17 65.59 65.59
Fractional positions:
Sn1 0.1805 0.1896 0.3925
Sn2 0.3701 0.3925 0.8104
Sn3 0.5730 0.6075 0.1896
Sn4 0.7626 0.8104 0.6075
Ga1 0.1272 0.0000 0.0000
Ac1 0.8800 0.4023 0.7921
Ac2 0.2823 0.7921 0.5977
Ac3 0.6721 0.2079 0.4023
Ac4 0.5879 0.0000 0.0000
Ac5 0.0744 0.5977 0.2079

Calculated values
Density of states at the Fermi level: 9.3 states/eV/cell
Calculated density: 7.27 g/cm3
DFT total energy: -44.0 eV per formula unit

---

[6]
The following is a DFT calculation (PBE) of a geometry-optimized Y2MgP3Rh12 structure.

a b c (Å): 6.6677 6.6677 6.6677
angles (deg): 83.28 83.28 83.28
Fractional positions:
Rh1 0.3694 0.9064 0.3694
Rh2 0.8253 0.8253 0.3292
Rh3 0.0936 0.6306 0.6306
Rh4 0.1747 0.6708 0.1747
Rh5 0.6306 0.0936 0.6306
Rh6 0.6708 0.1747 0.1747
Rh7 0.3694 0.3694 0.9064
Rh8 0.1747 0.1747 0.6708
Rh9 0.3292 0.8253 0.8253
Rh10 0.9064 0.3694 0.3694
Rh11 0.8253 0.3292 0.8253
Rh12 0.6306 0.6306 0.0936
P1 0.0000 0.0000 0.5000
P2 0.0000 0.5000 0.0000
P3 0.5000 0.0000 0.0000
Y1 0.3718 0.3718 0.3718
Y2 0.6282 0.6282 0.6282
Mg1 0.0000 0.0000 0.0000

Calculated values
Density of states at the Fermi level: 15.3 states/eV/cell
Calculated density: 8.74 g/cm3
DFT total energy: -125.1 eV per formula unit

---

[7]
The following is a DFT calculation (PBE) of a geometry-optimized BOsAu structure.

a b c (Å): 3.5858 3.5798 7.9224
angles (deg): 77.00 90.00 120.06
Fractional positions:
Os1 0.7927 0.5854 0.1219
Os2 0.2073 0.4146 0.8781
B1 0.8882 0.7764 0.8345
B2 0.1118 0.2236 0.1655
Au1 0.3744 0.7488 0.3755
Au2 0.6256 0.2512 0.6245

Calculated values
Density of states at the Fermi level: 2.6 states/eV/cell
Calculated density: 15.55 g/cm3
DFT total energy: -20.6 eV per formula unit

---

[8]
The following is a DFT calculation (PBE) of a geometry-optimized NaTb4TmS8 structure.

a b c (Å): 8.1282 8.1282 8.0844
angles (deg): 59.82 59.82 60.00
Fractional positions:
Tb1 0.4868 0.0043 0.5046
Tb2 0.0043 0.4868 0.5046
Tb3 0.0043 0.0043 0.5046
Tb4 0.6244 0.6244 0.1267
S1 0.7608 0.7608 0.2542
S2 0.2364 0.7839 0.7433
S3 0.7579 0.7579 0.7263
S4 0.7839 0.2364 0.7433
S5 0.2242 0.7608 0.2542
S6 0.2364 0.2364 0.7433
S7 0.7608 0.2242 0.2542
S8 0.2393 0.2393 0.2822
Tm1 0.0046 0.0046 0.9862
Na1 0.3758 0.3758 0.8725

Calculated values
Density of states at the Fermi level: 0.0 states/eV/cell
Calculated density: 4.78 g/cm3
Uncorrected formation energy: -27.421 eV/f.u.